First-principles (PBEsol) data for a relaxed MnIn2F crystal, as listed in Alexandria.

Unit cell a=6.5702 b=6.5702 c=6.5702 alpha=90.00 beta=90.00 gamma=90.00
Closest atoms and distances in Å follow each position.
Space group Fm-3m (No. 225)
Inequivalent atoms, fractional coordinates:
Mn: 0.0000 0.0000 0.0000 x4  8 In 2.84
In: 0.2500 0.2500 0.2500 x8  4 F 2.84, 4 Mn 2.84
F: 0.0000 0.0000 0.5000 x4  8 In 2.84

The raw formation energy comes out at -246 meV/atom. The energy comes out at -0.1712 hartree per atom. The total magnetic moment comes out at 14.4 μB/cell.